CrHgBr2: optimized geometry, PBEsol.

```
CrHgBr2
1.0
3.289 0.000 0.000
0.000 3.289 0.000
0.000 0.000 9.146
Cr Hg Br
1 1 2
Direct
0.000 0.000 0.000
0.000 0.000 0.500
0.500 0.500 0.175
0.500 0.500 0.825
```

Properties
- ΔE to the lowest computed polymorph (eV/f.u.) = 1.06
- crystal system = tetragonal
- magnetic moment (μB per formula unit) = 4.1
- DFT total energy (eV/atom) = -3.688



CrHgBr2: optimized geometry, PBEsol.

```
CrHgBr2
1.0
6.074 -1.756 0.000
6.074 1.756 0.000
-3.239 0.000 5.380
Cr Hg Br
1 1 2
Direct
0.000 0.000 0.000
0.235 0.235 0.483
0.406 0.406 0.136
0.581 0.581 0.839
```

Properties
- ΔE to the lowest computed polymorph (eV/f.u.) = 0.00
- crystal system = monoclinic
- magnetic moment (μB per formula unit) = 4.0
- DFT total energy (eV/atom) = -3.953



CrHgBr2: optimized geometry, PBEsol.

```
CrHgBr2
1.0
-1.747 3.302 4.524
1.747 -3.302 4.524
1.747 3.302 -4.524
Cr Hg Br
1 1 2
Direct
0.000 0.000 0.000
0.768 0.268 0.500
0.189 0.689 0.500
0.527 0.527 0.000
```

Properties
- ΔE to the lowest computed polymorph (eV/f.u.) = 0.86
- crystal system = orthorhombic
- magnetic moment (μB per formula unit) = 4.0
- DFT total energy (eV/atom) = -3.738



CrHgBr4: optimized geometry, PBEsol.

```
CrHgBr4
1.0
0.000 4.322 4.322
4.322 0.000 4.322
4.322 4.322 0.000
Cr Hg Br
1 1 4
Direct
0.000 0.000 0.000
0.750 0.750 0.750
0.375 0.375 0.375
0.375 0.375 0.876
0.375 0.876 0.375
0.876 0.375 0.375
```

Properties
- crystal system = cubic
- magnetic moment (μB per formula unit) = 4.6
- DFT total energy (eV/atom) = -2.379



MnCrHg2Br: optimized geometry, PBEsol.

```
MnCrHg2Br
1.0
5.188 0.000 0.000
0.000 5.188 0.000
0.000 0.000 4.754
Mn Cr Hg Br
1 1 2 1
Direct
0.000 0.000 0.000
0.500 0.500 0.500
0.000 0.500 0.000
0.500 0.000 0.000
0.000 0.000 0.500
```

Properties
- crystal system = tetragonal
- magnetic moment (μB per formula unit) = 8.8
- DFT total energy (eV/atom) = -3.844



CrHgSeBr2: optimized geometry, PBEsol.

```
CrHgSeBr2
1.0
5.335 0.000 0.000
0.000 5.335 0.000
0.000 0.000 5.254
Cr Hg Se Br
1 1 1 2
Direct
0.000 0.000 0.000
0.500 0.500 0.500
0.500 0.500 0.000
0.000 0.500 0.500
0.500 0.000 0.500
```

Properties
- crystal system = tetragonal
- magnetic moment (μB per formula unit) = 4.3
- DFT total energy (eV/atom) = -3.114



ZnCrHgBr2: optimized geometry, PBEsol.

```
ZnCrHgBr2
1.0
5.652 0.000 0.000
0.000 5.652 0.000
0.000 0.000 4.908
Zn Cr Hg Br
1 1 1 2
Direct
0.000 0.000 0.000
0.500 0.500 0.000
0.000 0.000 0.500
0.000 0.500 0.500
0.500 0.000 0.500
```

Properties
- crystal system = tetragonal
- magnetic moment (μB per formula unit) = 5.2
- DFT total energy (eV/atom) = -2.614



Cr3IBr: optimized geometry, PBEsol.

```
Cr3IBr
1.0
5.398 0.000 0.000
0.000 5.398 0.000
0.000 0.000 5.398
Cr I Br
3 1 1
Direct
0.000 0.000 0.500
0.000 0.500 0.000
0.500 0.000 0.000
0.000 0.000 0.000
0.500 0.500 0.500
```

Properties
- crystal system = cubic
- magnetic moment (μB per formula unit) = 15.5
- DFT total energy (eV/atom) = -5.434



CrI2BrN: optimized geometry, PBEsol.

```
CrI2BrN
1.0
6.059 0.000 0.000
0.000 6.059 0.000
0.000 0.000 3.709
Cr I Br N
1 2 1 1
Direct
0.000 0.000 0.000
0.000 0.500 0.500
0.500 0.000 0.500
0.500 0.500 0.500
0.500 0.500 0.000
```

Properties
- crystal system = tetragonal
- magnetic moment (μB per formula unit) = 4.7
- DFT total energy (eV/atom) = -3.460



CrI2BrO: optimized geometry, PBEsol.

```
CrI2BrO
1.0
5.747 0.000 0.000
0.000 5.747 0.000
0.000 0.000 3.920
Cr I Br O
1 2 1 1
Direct
0.000 0.000 0.000
0.000 0.500 0.500
0.500 0.000 0.500
0.500 0.500 0.500
0.500 0.500 0.000
```

Properties
- crystal system = tetragonal
- magnetic moment (μB per formula unit) = 4.8
- DFT total energy (eV/atom) = -3.453



CrIBrO2: optimized geometry, PBEsol.

```
CrIBrO2
1.0
3.841 0.000 0.000
0.000 3.841 0.000
0.000 0.000 5.698
Cr I Br O
1 1 1 2
Direct
0.000 0.000 0.000
0.000 0.000 0.500
0.500 0.500 0.500
0.000 0.500 0.000
0.500 0.000 0.000
```

Properties
- crystal system = tetragonal
- magnetic moment (μB per formula unit) = 1.9
- DFT total energy (eV/atom) = -5.323



CrSb2IBr: optimized geometry, PBEsol.

```
CrSb2IBr
1.0
5.027 0.000 0.000
0.000 5.027 0.000
0.000 0.000 5.209
Cr Sb I Br
1 2 1 1
Direct
0.000 0.000 0.000
0.000 0.500 0.000
0.500 0.000 0.000
0.000 0.000 0.500
0.500 0.500 0.500
```

Properties
- crystal system = tetragonal
- magnetic moment (μB per formula unit) = 1.4
- DFT total energy (eV/atom) = -4.341



CrSe2IBr: optimized geometry, PBEsol.

```
CrSe2IBr
1.0
5.410 0.000 0.000
0.000 5.410 0.000
0.000 0.000 5.366
Cr Se I Br
1 2 1 1
Direct
0.000 0.000 0.000
0.000 0.500 0.500
0.500 0.000 0.500
0.500 0.500 0.500
0.500 0.500 0.000
```

Properties
- crystal system = tetragonal
- magnetic moment (μB per formula unit) = 4.5
- DFT total energy (eV/atom) = -3.364



CrInBr2: optimized geometry, PBEsol.

```
CrInBr2
1.0
-1.720 1.761 8.586
1.720 -1.761 8.586
1.720 1.761 -8.586
Cr In Br
1 1 2
Direct
0.000 0.000 0.000
0.247 0.747 0.500
0.575 0.575 0.000
0.890 0.390 0.500
```

Properties
- crystal system = orthorhombic
- magnetic moment (μB per formula unit) = 4.4
- DFT total energy (eV/atom) = -4.376



CrIn2Br: optimized geometry, PBEsol.

```
CrIn2Br
1.0
3.287 0.000 0.000
0.000 3.287 0.000
0.000 0.000 7.846
Cr In Br
1 2 1
Direct
0.000 0.000 0.000
0.500 0.500 0.211
0.500 0.500 0.789
0.000 0.000 0.500
```

Properties
- ΔE to the lowest computed polymorph (eV/f.u.) = 0.40
- crystal system = tetragonal
- magnetic moment (μB per formula unit) = 3.0
- DFT total energy (eV/atom) = -4.307